(1)
A geometry-optimized NdLuMgCo structure, computed with GGA-PBE.

The structure belongs to space group F-43m (No. 216); the cell edges are 7.148, 7.148 and 7.148 Å and the angles 90.00°, 90.00° and 90.00°. Symmetry generates all atoms from Nd at (0.000, 0.000, 0.000), Lu at (0.000, 0.000, 0.500), Mg at (0.250, 0.250, 0.750) and Co at (0.250, 0.250, 0.250).

For the total energy, the calculation gives -17.89 eV/f.u.


(2)
A geometry-optimized PmLuMgCo structure, computed with GGA-PBE.

The structure belongs to space group F-43m (No. 216); the cell edges are 7.118, 7.118 and 7.118 Å and the angles 90.00°, 90.00° and 90.00°. Symmetry generates all atoms from Pm at (0.000, 0.000, 0.000), Lu at (0.000, 0.000, 0.500), Mg at (0.250, 0.250, 0.250) and Co at (0.250, 0.250, 0.750).

For the total energy, the calculation gives -17.92 eV/f.u.


(3)
A geometry-optimized LuMgCoRh structure, computed with GGA-PBE.

The structure belongs to space group F-43m (No. 216); the cell edges are 6.392, 6.392 and 6.392 Å and the angles 90.00°, 90.00° and 90.00°. Symmetry generates all atoms from Lu at (0.000, 0.000, 0.000), Mg at (0.000, 0.000, 0.500), Co at (0.250, 0.250, 0.250) and Rh at (0.250, 0.250, 0.750).

For the total energy, the calculation gives -22.19 eV/f.u.


(4)
A geometry-optimized LuMgCoRu structure, computed with GGA-PBE.

The structure belongs to space group F-43m (No. 216); the cell edges are 6.389, 6.389 and 6.389 Å and the angles 90.00°, 90.00° and 90.00°. Symmetry generates all atoms from Lu at (0.000, 0.000, 0.000), Mg at (0.000, 0.000, 0.500), Co at (0.250, 0.250, 0.250) and Ru at (0.250, 0.250, 0.750).

For the total energy, the calculation gives -22.82 eV/f.u.


(5)
A geometry-optimized TbLuMgCo structure, computed with GGA-PBE.

The structure belongs to space group F-43m (No. 216); the cell edges are 7.035, 7.035 and 7.035 Å and the angles 90.00°, 90.00° and 90.00°. Symmetry generates all atoms from Tb at (0.000, 0.000, 0.000), Lu at (0.000, 0.000, 0.500), Mg at (0.250, 0.250, 0.750) and Co at (0.250, 0.250, 0.250).

For the total energy, the calculation gives -17.94 eV/f.u.


(6)
A geometry-optimized TmLuMgCo structure, computed with GGA-PBE.

The structure belongs to space group F-43m (No. 216); the cell edges are 6.955, 6.955 and 6.955 Å and the angles 90.00°, 90.00° and 90.00°. Symmetry generates all atoms from Tm at (0.000, 0.000, 0.000), Lu at (0.000, 0.000, 0.500), Mg at (0.250, 0.250, 0.250) and Co at (0.250, 0.250, 0.750).

For the total energy, the calculation gives -17.86 eV/f.u.


(7)
A geometry-optimized LuMnCo structure, computed with GGA-PBE.

The structure belongs to space group P-6m2 (No. 187); the cell edges are 3.8266, 3.8266 and 4.0287 Å and the angles 90.00°, 90.00° and 120.00°. Symmetry generates all atoms from Lu at (0.0000, 0.0000, 0.0000), Mn at (0.6667, 0.3333, 0.5000) and Co at (0.3333, 0.6667, 0.5000).

For the total energy, the calculation gives -20.87 eV/f.u.


(8)
A geometry-optimized LuMnNbCo structure, computed with GGA-PBE.

The structure belongs to space group F-43m (No. 216); the cell edges are 6.303, 6.303 and 6.303 Å and the angles 90.00°, 90.00° and 90.00°. Symmetry generates all atoms from Lu at (0.000, 0.000, 0.000), Mn at (0.250, 0.250, 0.250), Nb at (0.000, 0.000, 0.500) and Co at (0.250, 0.250, 0.750).

For the total energy, the calculation gives -30.84 eV/f.u.


(9)
A geometry-optimized LuPuMnCo structure, computed with GGA-PBE.

The structure belongs to space group F-43m (No. 216); the cell edges are 6.626, 6.626 and 6.626 Å and the angles 90.00°, 90.00° and 90.00°. Symmetry generates all atoms from Lu at (0.000, 0.000, 0.000), Pu at (0.000, 0.000, 0.500), Mn at (0.250, 0.250, 0.750) and Co at (0.250, 0.250, 0.250).

For the total energy, the calculation gives -35.17 eV/f.u.


(10)
A geometry-optimized LuMnCoRh structure, computed with GGA-PBE.

The structure belongs to space group F-43m (No. 216); the cell edges are 6.281, 6.281 and 6.281 Å and the angles 90.00°, 90.00° and 90.00°. Symmetry generates all atoms from Lu at (0.000, 0.000, 0.000), Mn at (0.000, 0.000, 0.500), Co at (0.250, 0.250, 0.750) and Rh at (0.250, 0.250, 0.250).

For the total energy, the calculation gives -29.37 eV/f.u.


(11)
A geometry-optimized LuMnCoRu structure, computed with GGA-PBE.

The structure belongs to space group F-43m (No. 216); the cell edges are 6.238, 6.238 and 6.238 Å and the angles 90.00°, 90.00° and 90.00°. Symmetry generates all atoms from Lu at (0.000, 0.000, 0.000), Mn at (0.000, 0.000, 0.500), Co at (0.250, 0.250, 0.250) and Ru at (0.250, 0.250, 0.750).

For the total energy, the calculation gives -30.27 eV/f.u.


(12)
A geometry-optimized LuScMnCo structure, computed with GGA-PBE.

The structure belongs to space group F-43m (No. 216); the cell edges are 6.584, 6.584 and 6.584 Å and the angles 90.00°, 90.00° and 90.00°. Symmetry generates all atoms from Lu at (0.000, 0.000, 0.000), Sc at (0.000, 0.000, 0.500), Mn at (0.250, 0.250, 0.750) and Co at (0.250, 0.250, 0.250).

For the total energy, the calculation gives -27.27 eV/f.u.


Spin magnetization / μB/cell: 1.24 1.21 0.00 2.35 1.23 0.46 1.93 1.12 8.60 18.26 15.54 13.79